Entry from Alexandria via LeMat-Bulk: an optimized crystal structure of Zr3Pt (PBE-GGA).

The structure in POSCAR format:
```
Zr3Pt
1.0
4.341 0.000 0.000
0.000 4.341 0.000
0.000 0.000 4.341
Zr Pt
3 1
direct
0.000 0.000 0.500 Zr
0.000 0.500 0.000 Zr
0.500 0.000 0.000 Zr
0.500 0.500 0.500 Pt
```

**Symmetry**: Pm-3m
**Formation energy from the elements**: -9.8 kcal/mol of atoms
**D(E_F)**: 0.953 states/eV per atom
**Volume**: 81.8 Å³ per cell
**Total moment**: 0.00 μB per formula unit